Entry 1:
First-principles (PBEsol) data for a relaxed structure of CsCaCO3F, as listed in Alexandria via LeMat-Bulk.

Cell lengths 4.5135, 9.2529, 9.2529 Å; angles 120.00, 90.00, 90.00 degrees
Fractional coordinates of all 21 atoms:
Cs (0.5000, 0.7202, 0.7202)
O (0.0000, 0.8602, 0.0000)
O (0.0000, 0.7945, 0.3114)
C (0.0000, 0.3333, 0.6667)
C (0.0000, 0.0000, 0.0000)
Ca (0.0000, 0.0000, 0.6136)
O (0.0000, 0.1398, 0.1398)
F (0.5000, 0.3841, 0.3841)
O (0.0000, 0.5169, 0.2055)
O (0.0000, 0.6886, 0.4831)
O (0.0000, 0.4831, 0.6886)
O (0.0000, 0.2055, 0.5169)
Cs (0.5000, 0.0000, 0.2798)
C (0.0000, 0.6667, 0.3333)
Cs (0.5000, 0.2798, 0.0000)
Ca (0.0000, 0.3864, 0.3864)
F (0.5000, 0.6159, 0.0000)
Ca (0.0000, 0.6136, 0.0000)
O (0.0000, 0.0000, 0.8602)
O (0.0000, 0.3114, 0.7945)
F (0.5000, 0.0000, 0.6159)

## Properties
ΔE_f (raw) ... -2.457 eV per atom
Total moment ... 0.0 μB per formula unit
Fermi-level density of states ... 0.0 states/eV/cell

Entry 2:
First-principles (PBEsol) data for a relaxed structure of CaCuC3, as listed in Alexandria via LeMat-Bulk.

Cell lengths 4.2749, 4.2749, 4.2749 Å; angles 90.00, 90.00, 90.00 degrees
Fractional coordinates of all 5 atoms:
Ca (0.0000, 0.0000, 0.0000)
C (0.5000, 0.0000, 0.0000)
C (0.0000, 0.0000, 0.5000)
Cu (0.5000, 0.5000, 0.5000)
C (0.0000, 0.5000, 0.0000)

## Properties
Total moment ... 0.0 μB per formula unit
Formation enthalpy at 0 K ... 3.632 eV/atom
Fermi-level density of states ... 3.6 states/eV/cell

Entry 3:
First-principles (PBEsol) data for a relaxed structure of CaFeCuC2, as listed in Alexandria via LeMat-Bulk.

Cell lengths 3.7177, 3.7177, 4.4502 Å; angles 90.00, 90.00, 90.00 degrees
Fractional coordinates of all 5 atoms:
Cu (0.0000, 0.0000, 0.5000)
Fe (0.0000, 0.0000, 0.0000)
C (0.0000, 0.5000, 0.0000)
C (0.5000, 0.0000, 0.0000)
Ca (0.5000, 0.5000, 0.5000)

## Properties
Total moment ... 0.0 μB per formula unit
Formation enthalpy at 0 K ... 0.769 eV/atom
Fermi-level density of states ... 2.7 states/eV/cell

Entry 4:
First-principles (PBEsol) data for a relaxed structure of CaHf2CF, as listed in Alexandria via LeMat-Bulk.

Cell lengths 4.2063, 4.2063, 6.5192 Å; angles 90.00, 90.00, 90.00 degrees
Site moments in Bohr magnetons follow the coordinates.
Fractional coordinates of all 5 atoms:
F (0.0000, 0.0000, 0.5000)  0.02
C (0.0000, 0.0000, 0.0000)  0.00
Hf (0.5000, 0.0000, 0.0000)  0.12
Ca (0.5000, 0.5000, 0.5000)  0.03
Hf (0.0000, 0.5000, 0.0000)  0.12

## Properties
ΔE_f (raw) ... -0.253 eV per atom
Total moment ... 0.6 μB per formula unit
Fermi-level density of states ... 4.1 states/eV/cell

Entry 5:
First-principles (PBEsol) data for a relaxed structure of RbCaCO3F, as listed in Alexandria via LeMat-Bulk.

Cell lengths 4.4153, 9.1496, 9.1496 Å; angles 120.00, 90.00, 90.00 degrees
Fractional coordinates of all 21 atoms:
O (0.5000, 0.5149, 0.3106)
O (0.5000, 0.1411, 0.0000)
C (0.5000, 0.3333, 0.6667)
O (0.5000, 0.4851, 0.7957)
Rb (0.0000, 0.7179, 0.0000)
O (0.5000, 0.0000, 0.1411)
O (0.5000, 0.3106, 0.5149)
Ca (0.5000, 0.6128, 0.6128)
F (0.0000, 0.6158, 0.6158)
O (0.5000, 0.2043, 0.6894)
C (0.5000, 0.0000, 0.0000)
F (0.0000, 0.3842, 0.0000)
F (0.0000, 0.0000, 0.3842)
Ca (0.5000, 0.3872, 0.0000)
O (0.5000, 0.8589, 0.8589)
Ca (0.5000, 0.0000, 0.3872)
O (0.5000, 0.7957, 0.4851)
Rb (0.0000, 0.2821, 0.2821)
C (0.5000, 0.6667, 0.3333)
Rb (0.0000, 0.0000, 0.7179)
O (0.5000, 0.6894, 0.2043)

## Properties
ΔE_f (raw) ... -2.454 eV per atom
Total moment ... 0.0 μB per formula unit
Fermi-level density of states ... 0.0 states/eV/cell

Entry 6:
First-principles (PBEsol) data for a relaxed structure of Ca2OsCF, as listed in Alexandria via LeMat-Bulk.

Cell lengths 3.8325, 4.5610, 4.5610 Å; angles 90.00, 90.00, 90.00 degrees
Fractional coordinates of all 5 atoms:
Ca (0.0000, 0.5000, 0.0000)
F (0.0000, 0.0000, 0.0000)
Os (0.5000, 0.5000, 0.5000)
Ca (0.0000, 0.0000, 0.5000)
C (0.5000, 0.0000, 0.0000)

## Properties
ΔE_f (raw) ... 0.489 eV per atom
Total moment ... 0.0 μB per formula unit
Fermi-level density of states ... 3.0 states/eV/cell

Entry 7:
First-principles (PBEsol) data for a relaxed structure of Ca2FeC, as listed in Alexandria via LeMat-Bulk.

Cell lengths 4.6303, 4.6303, 4.6303 Å; angles 60.00, 60.00, 60.00 degrees
Site moments in Bohr magnetons follow the coordinates.
Fractional coordinates of all 4 atoms:
Ca (0.2500, 0.2500, 0.2500)  -0.03
C (0.0000, 0.0000, 0.0000)  0.14
Ca (0.7500, 0.7500, 0.7500)  -0.03
Fe (0.5000, 0.5000, 0.5000)  2.59

## Properties
Total moment ... 2.9 μB per formula unit
Formation enthalpy at 0 K ... 1.105 eV/atom
Fermi-level density of states ... 9.8 states/eV/cell

Entry 8:
First-principles (PBEsol) data for a relaxed structure of CaFe3C, as listed in Alexandria via LeMat-Bulk.

Cell lengths 4.3625, 4.3625, 4.3625 Å; angles 90.00, 90.00, 90.00 degrees
Site moments in Bohr magnetons follow the coordinates.
Fractional coordinates of all 5 atoms:
Fe (0.0000, 0.5000, 0.0000)  2.54
Ca (0.0000, 0.0000, 0.0000)  -0.21
Fe (0.0000, 0.0000, 0.5000)  2.54
Fe (0.5000, 0.0000, 0.0000)  2.54
C (0.5000, 0.5000, 0.5000)  -0.01

## Properties
Total moment ... 7.4 μB per formula unit
Formation enthalpy at 0 K ... 3.309 eV/atom
Fermi-level density of states ... 5.9 states/eV/cell

Entry 9:
First-principles (PBEsol) data for a relaxed structure of CaFe2C, as listed in Alexandria via LeMat-Bulk.

Cell lengths 3.9383, 3.9383, 3.9383 Å; angles 60.00, 60.00, 60.00 degrees
Site moments in Bohr magnetons follow the coordinates.
Fractional coordinates of all 4 atoms:
Fe (0.2500, 0.2500, 0.2500)  1.02
C (0.0000, 0.0000, 0.0000)  -0.05
Ca (0.5000, 0.5000, 0.5000)  -0.03
Fe (0.7500, 0.7500, 0.7500)  1.02

## Properties
Total moment ... 1.9 μB per formula unit
Formation enthalpy at 0 K ... 1.435 eV/atom
Fermi-level density of states ... 4.7 states/eV/cell

Entry 10:
First-principles (PBEsol) data for a relaxed structure of Ca2MgFeC4O12, as listed in Alexandria via LeMat-Bulk.

Cell lengths 4.8270, 5.9824, 7.6964 Å; angles 105.81, 90.03, 90.12 degrees
Site moments in Bohr magnetons follow the coordinates.
Fractional coordinates of all 20 atoms:
C (0.2501, 0.7647, 0.9934)  0.01
O (0.3625, 0.5955, 0.3661)  0.01
C (0.2505, 0.7352, 0.5067)  0.01
O (0.8606, 0.0996, 0.8646)  0.03
C (0.7494, 0.2368, 0.0075)  0.01
Ca (0.2498, 0.2498, 0.7497)  0.00
O (0.9068, 0.3635, 0.1322)  0.01
O (0.1377, 0.9043, 0.1338)  0.01
O (0.0971, 0.6351, 0.8671)  0.04
O (0.5174, 0.7484, 0.9818)  0.04
Ca (0.7502, 0.7503, 0.2503)  0.00
Fe (0.7503, 0.7500, 0.7501)  3.56
O (0.9832, 0.7517, 0.5185)  0.04
O (0.4037, 0.8648, 0.6328)  0.04
C (0.7500, 0.2633, 0.4925)  0.01
O (0.5921, 0.1367, 0.3681)  0.01
O (0.4832, 0.2533, 0.0219)  0.00
O (0.6394, 0.4005, 0.6355)  0.03
Mg (0.2497, 0.2500, 0.2498)  0.00
O (0.0162, 0.2465, 0.4777)  0.00

## Properties
ΔE_f (raw) ... -1.946 eV per atom
Total moment ... 4.0 μB per formula unit
Fermi-level density of states ... 7.0 states/eV/cell

Entry 11:
First-principles (PBEsol) data for a relaxed structure of Ca3Mg2FeC6O18, as listed in Alexandria via LeMat-Bulk.

Cell lengths 4.8243, 5.9834, 12.3361 Å; angles 99.71, 90.06, 113.76 degrees
Site moments in Bohr magnetons follow the coordinates.
Fractional coordinates of all 30 atoms:
O (0.7478, 0.5287, 0.2587)  0.00
O (0.4093, 0.0932, 0.8206)  0.01
Mg (0.6664, 0.8338, 0.3333)  0.00
C (0.6578, 0.8140, 0.0860)  0.01
O (0.2522, 0.4713, 0.7413)  0.00
C (0.3232, 0.1483, 0.4192)  0.00
O (0.1248, 0.0682, 0.3355)  0.00
C (0.6768, 0.8517, 0.5808)  0.00
C (0.3422, 0.1860, 0.9140)  0.01
Ca (0.3366, 0.1676, 0.1677)  0.00
O (0.5907, 0.9068, 0.1794)  0.01
O (0.7367, 0.7552, 0.4868)  0.00
O (0.7922, 0.3986, 0.6680)  0.01
O (0.0694, 0.4179, 0.1550)  0.03
O (0.9306, 0.5821, 0.8450)  0.03
O (0.0765, 0.1897, 0.9230)  0.04
O (0.4644, 0.7324, 0.0005)  0.04
C (0.9907, 0.4810, 0.7518)  0.01
O (0.2078, 0.6014, 0.3320)  0.01
C (0.0093, 0.5190, 0.2482)  0.01
O (0.8752, 0.9318, 0.6645)  0.00
O (0.2633, 0.2448, 0.5132)  0.00
Ca (0.0000, 0.5000, 0.5000)  0.00
O (0.5356, 0.2676, 0.9995)  0.04
O (0.4141, 0.8594, 0.5924)  0.00
O (0.9235, 0.8103, 0.0770)  0.04
Ca (0.6634, 0.8324, 0.8323)  0.00
Fe (0.0000, 0.5000, 0.0000)  3.56
Mg (0.3336, 0.1662, 0.6667)  0.00
O (0.5859, 0.1406, 0.4076)  0.00

## Properties
ΔE_f (raw) ... -2.024 eV per atom
Total moment ... 4.0 μB per formula unit
Fermi-level density of states ... 7.1 states/eV/cell

Entry 12:
First-principles (PBEsol) data for a relaxed structure of Ca3MgFe2C6O18, as listed in Alexandria via LeMat-Bulk.

Cell lengths 4.8305, 4.8305, 15.8531 Å; angles 90.00, 90.00, 120.00 degrees
Site moments in Bohr magnetons follow the coordinates.
Fractional coordinates of all 30 atoms:
O (0.6399, 0.5871, 0.5895)  0.04
Ca (0.0000, 0.0000, 0.5000)  0.00
O (0.2543, 0.2801, 0.7440)  0.04
Mg (0.0000, 0.0000, 0.0000)  0.00
Fe (0.6667, 0.3333, 0.3332)  3.57
O (0.3839, 0.3001, 0.0772)  0.00
C (0.6667, 0.3333, 0.0762)  0.00
O (0.7199, 0.9742, 0.7440)  0.04
O (0.4129, 0.0528, 0.5895)  0.04
C (0.0000, 0.0000, 0.7431)  0.01
O (0.6999, 0.0838, 0.0772)  0.00
O (0.7457, 0.7199, 0.2560)  0.04
O (0.3001, 0.9162, 0.9228)  0.00
Fe (0.3333, 0.6667, 0.6668)  3.57
O (0.9472, 0.3601, 0.5895)  0.04
Ca (0.3333, 0.6667, 0.1660)  0.00
O (0.5871, 0.9472, 0.4105)  0.04
C (0.3333, 0.6667, 0.4096)  0.01
O (0.0258, 0.7457, 0.7440)  0.04
O (0.2801, 0.0258, 0.2560)  0.04
Ca (0.6667, 0.3333, 0.8340)  0.00
O (0.0528, 0.6399, 0.4105)  0.04
O (0.6161, 0.6999, 0.9228)  0.00
C (0.3333, 0.6667, 0.9238)  0.00
O (0.9162, 0.6161, 0.0772)  0.00
O (0.9742, 0.2543, 0.2560)  0.04
O (0.0838, 0.3839, 0.9228)  0.00
O (0.3601, 0.4129, 0.4105)  0.04
C (0.6667, 0.3333, 0.5904)  0.01
C (0.0000, 0.0000, 0.2569)  0.01

## Properties
ΔE_f (raw) ... -1.870 eV per atom
Total moment ... 8.0 μB per formula unit
Fermi-level density of states ... 15.2 states/eV/cell